[1]
Density functional theory data (PBE-GGA) for a relaxed Cs2TaTiBr6 crystal.

Final energy in eV per atom: -4.129
Formation energy (no corrections) in eV/atom: -0.979

Lattice parameters (Å, degrees): 10.900 10.900 10.900 90.00 90.00 90.00
Space group Fm-3m (No. 225)
Asymmetric unit:
1 Cs 0.250 0.250 0.250 [8 per cell]
2 Ta 0.000 0.000 0.000 [4 per cell]
3 Ti 0.000 0.000 0.500 [4 per cell]
4 Br 0.000 0.000 0.247 [24 per cell]

[2]
Density functional theory data (PBE-GGA) for a relaxed CeMgScOs crystal.

Formation energy from the elements in eV per atom: -0.2317
Final energy in eV per atom: -6.504
Energy above the most stable polymorph in this dataset in kJ per mole of atoms: 0.0

Lattice parameters (Å, degrees): 3.240 3.240 8.538 90.00 90.00 90.00
Space group P4mm (No. 99)
Asymmetric unit:
1 Ce 0.000 0.000 0.000 [1 per cell]
2 Mg 0.500 0.500 0.319 [1 per cell]
3 Sc 0.000 0.000 0.603 [1 per cell]
4 Os 0.500 0.500 0.783 [1 per cell]

[3]
Density functional theory data (PBE-GGA) for a relaxed TaNbH3 crystal.

Final energy in eV per atom: -6.504
Energy above the most stable polymorph in this dataset in kJ per mole of atoms: 6.5

Lattice parameters (Å, degrees): 9.601 7.473 4.952 90.00 90.39 90.00
Space group C2/c (No. 15)
Asymmetric unit:
1 Ta 0.000 0.105 0.250 [4 per cell]
2 Ta 0.000 0.352 0.750 [4 per cell]
3 Nb 0.241 0.374 0.244 [8 per cell]
4 H 0.076 0.121 0.898 [8 per cell]
5 H 0.113 0.496 0.998 [8 per cell]
6 H 0.126 0.237 0.493 [8 per cell]

[4]
Density functional theory data (PBE-GGA) for a relaxed Na2NdSn3Se6 crystal.

Final energy in eV per atom: -4.261
Formation energy (no corrections) in eV/atom: -0.901

Lattice parameters (Å, degrees): 7.315 12.656 7.493 90.00 108.93 90.00
Space group C2/m (No. 12)
Asymmetric unit:
1 Na 0.000 0.167 0.000 [4 per cell]
2 Nd 0.000 0.500 0.000 [2 per cell]
3 Sn 0.000 0.000 0.500 [2 per cell]
4 Sn 0.000 0.336 0.500 [4 per cell]
5 Se 0.236 0.500 0.741 [4 per cell]
6 Se 0.246 0.339 0.251 [8 per cell]

[5]
Density functional theory data (PBE-GGA) for a relaxed RbPaNiS4 crystal.

Final energy in eV per atom: -5.845
Formation energy (no corrections) in eV/atom: -1.166

Lattice parameters (Å, degrees): 6.589 5.689 9.222 90.00 106.16 90.00
Space group P2_1/m (No. 11)
Asymmetric unit:
1 Rb 0.250 0.250 0.048 [2 per cell]
2 Pa 0.264 0.250 0.555 [2 per cell]
3 Ni 0.235 0.750 0.343 [2 per cell]
4 S 0.014 0.514 0.695 [4 per cell]
5 S 0.424 0.750 0.581 [2 per cell]
6 S 0.447 0.750 0.190 [2 per cell]

[6]
Density functional theory data (PBE-GGA) for a relaxed CuP2Pb2 crystal.

Formation energy from the elements in eV per atom: 0.0954
Final energy in eV per atom: -4.371
Energy above the most stable polymorph in this dataset in kJ per mole of atoms: 0.0

Lattice parameters (Å, degrees): 6.184 6.184 5.804 90.00 90.00 90.00
Space group P4/mbm (No. 127)
Asymmetric unit:
1 Cu 0.000 0.000 0.000 [2 per cell]
2 P 0.126 0.374 0.000 [4 per cell]
3 Pb 0.190 0.310 0.500 [4 per cell]

What did the third record say?
Density functional theory data (PBE-GGA) for a relaxed TaNbH3 crystal.

Final energy in eV per atom: -6.504
Energy above the most stable polymorph in this dataset in kJ per mole of atoms: 6.5

Lattice parameters (Å, degrees): 9.601 7.473 4.952 90.00 90.39 90.00
Space group C2/c (No. 15)
Asymmetric unit:
1 Ta 0.000 0.105 0.250 [4 per cell]
2 Ta 0.000 0.352 0.750 [4 per cell]
3 Nb 0.241 0.374 0.244 [8 per cell]
4 H 0.076 0.121 0.898 [8 per cell]
5 H 0.113 0.496 0.998 [8 per cell]
6 H 0.126 0.237 0.493 [8 per cell]

- Which value of final energy does entry 6 give?
  -4.371 eV per atom

Copy entry 3 word for word.
Density functional theory data (PBE-GGA) for a relaxed TaNbH3 crystal.

Final energy in eV per atom: -6.504
Energy above the most stable polymorph in this dataset in kJ per mole of atoms: 6.5

Lattice parameters (Å, degrees): 9.601 7.473 4.952 90.00 90.39 90.00
Space group C2/c (No. 15)
Asymmetric unit:
1 Ta 0.000 0.105 0.250 [4 per cell]
2 Ta 0.000 0.352 0.750 [4 per cell]
3 Nb 0.241 0.374 0.244 [8 per cell]
4 H 0.076 0.121 0.898 [8 per cell]
5 H 0.113 0.496 0.998 [8 per cell]
6 H 0.126 0.237 0.493 [8 per cell]